Density functional theory data (PBE-GGA) for an optimized crystal structure of Rb4Au2ICl.

Computed properties:
Raw total energy in eV per cell: -21.63
Calculated volume in A^3/atom: 45.13
Size of the total moment in μB per atom: 0.000
Crystal system: monoclinic

Cell: 8.7360 5.0058 8.7408 Å, 90.00 109.19 90.00°
Space group P2/m (No. 10)
Symmetry-distinct sites (fractional):
Rb 0.2339 0.0000 0.2416 (multiplicity 2)
Rb 0.2351 0.5000 0.7482 (multiplicity 2)
Au 0.0000 0.0000 0.5000 (multiplicity 1)
Au 0.5000 0.5000 0.5000 (multiplicity 1)
I 0.5000 0.0000 0.0000 (multiplicity 1)
Cl 0.0000 0.5000 0.0000 (multiplicity 1)